# PdN GGA-PBE relaxed
data_PdN
_chemical_formula_sum 'Pd2 N2'
_space_group_name_H-M_alt 'P 63/m m c'
_space_group_IT_number 194
_space_group_name_Hall '-P 6c 2c'
_cell_length_a 3.7182
_cell_length_b 3.7182
_cell_length_c 4.3183
_cell_angle_alpha 90.00
_cell_angle_beta 90.00
_cell_angle_gamma 120.00
loop_
_atom_site_label
_atom_site_type_symbol
_atom_site_fract_x
_atom_site_fract_y
_atom_site_fract_z
_atom_site_occupancy
Pd1 Pd 0.3333 0.6667 0.2500 1
N1 N 0.3333 0.6667 0.7500 1
# raw formation energy	1.19	eV per atom
# spin magnetization	0.000	μB per atom

---

# PdN GGA-PBE relaxed
data_PdN
_chemical_formula_sum 'Pd1 N1'
_space_group_name_H-M_alt 'P m -3 m'
_space_group_IT_number 221
_space_group_name_Hall '-P 4 2 3'
_cell_length_a 2.7762
_cell_length_b 2.7762
_cell_length_c 2.7762
_cell_angle_alpha 90.00
_cell_angle_beta 90.00
_cell_angle_gamma 90.00
loop_
_atom_site_label
_atom_site_type_symbol
_atom_site_fract_x
_atom_site_fract_y
_atom_site_fract_z
_atom_site_occupancy
Pd1 Pd 0.0000 0.0000 0.0000 1
N1 N 0.5000 0.5000 0.5000 1
# raw formation energy	1.52	eV per atom
# spin magnetization	0.000	μB per atom